# 1
Here is PN after structural relaxation from the Alexandria database. Energies are from PBE.

* theoretical density: 2.79 Mg/m³
* total DFT energy (no corrections): -109.9 eV per cell
* crystal system: orthorhombic
* formation energy without anion corrections: -2 meV/atom

Cell: 4.7074 6.2278 7.2980 Å, 90.00 90.00 90.00°
Last column: nearest neighbours and their distance in Å.
Space group P2_12_12_1 (No. 19)
One atom of each set of equivalent atoms:
1 P 0.2441 0.1698 0.1861 x4  2 N 1.65-1.81
2 P 0.2446 0.1958 0.6172 x4  3 N 1.59-1.71
3 N 0.0894 0.8009 0.9081 x4  3 P 1.71-1.81
4 N 0.0914 0.6453 0.2501 x4  2 P 1.59-1.65

# 2
Here is Pa6PN8 after structural relaxation from the Alexandria database. Energies are from PBE.

* theoretical density: 10.99 Mg/m³
* total DFT energy (no corrections): -459.7 eV per cell
* crystal system: trigonal
* formation energy without anion corrections: -1616 meV/atom

Cell: 6.5722 6.5722 18.5341 Å, 90.00 90.00 120.00°
Last column: nearest neighbours and their distance in Å.
Space group R-3 (No. 148, hexagonal axes)
One atom of each set of equivalent atoms:
1 Pa 0.0018 0.3477 0.4138 x18  4 N 2.24-2.33
2 P 0.0000 0.0000 0.5000 x3  6 Pa 2.78
3 N 0.0000 0.0000 0.1683 x6  6 Pa 2.65-2.70
4 N 0.0032 0.3401 0.2887 x18  4 Pa 2.24-2.33

# 3
Here is Pa4P3N4 after structural relaxation from the Alexandria database. Energies are from PBE.

* theoretical density: 9.53 Mg/m³
* total DFT energy (no corrections): -209.1 eV per cell
* crystal system: orthorhombic
* formation energy without anion corrections: -1550 meV/atom

Cell: 7.9466 3.8490 12.2218 Å, 90.00 90.00 90.00°
Last column: nearest neighbours and their distance in Å.
Space group Amm2 (No. 38)
One atom of each set of equivalent atoms:
1 Pa 0.0000 0.0000 0.0000 x2  4 N 2.23-2.28
2 Pa 0.2405 0.0000 0.7007 x4  4 N 2.29-2.32
3 Pa 0.5000 0.0000 0.0101 x2  4 N 2.28-2.34
4 P 0.0000 0.0000 0.3184 x2  2 P 2.81, 6 Pa 2.94-3.07
5 P 0.3472 0.0000 0.3637 x4  1 P 2.43
6 N 0.0000 0.0000 0.5928 x2  4 Pa 2.23-2.32
7 N 0.2455 0.0000 0.0969 x4  4 Pa 2.28-2.31
8 N 0.5000 0.0000 0.6197 x2  4 Pa 2.29-2.34

# 4
Here is Pa3P3N after structural relaxation from the Alexandria database. Energies are from PBE.

* theoretical density: 9.30 Mg/m³
* total DFT energy (no corrections): -179.6 eV per cell
* crystal system: trigonal
* formation energy without anion corrections: -973 meV/atom

Cell: 9.3826 9.3826 5.6235 Å, 90.00 90.00 120.00°
Last column: nearest neighbours and their distance in Å.
Space group R3m (No. 160, hexagonal axes)
One atom of each set of equivalent atoms:
1 Pa 0.1992 0.3984 0.0000 x9  1 N 2.19
2 P 0.1932 0.3864 0.4947 x9  6 Pa 2.78-3.04
3 N 0.0000 0.0000 0.3066 x3  3 Pa 2.19

# 5
Here is PaPN after structural relaxation from the Alexandria database. Energies are from PBE.

* theoretical density: 8.86 Mg/m³
* total DFT energy (no corrections): -26.2 eV per cell
* crystal system: hexagonal
* formation energy without anion corrections: -991 meV/atom

Cell: 3.8499 3.8499 4.0321 Å, 90.00 90.00 120.00°
Last column: nearest neighbours and their distance in Å.
Space group P-6m2 (No. 187)
One atom of each set of equivalent atoms:
1 Pa 0.0000 0.0000 0.0000 x1  3 N 2.22
2 P 0.6667 0.3333 0.5000 x1  6 Pa 3.00, 6 N 3.00
3 N 0.3333 0.6667 0.0000 x1  3 Pa 2.22

# 6
Here is Pa3P2N2 after structural relaxation from the Alexandria database. Energies are from PBE.

* theoretical density: 10.17 Mg/m³
* total DFT energy (no corrections): -265.3 eV per cell
* crystal system: monoclinic
* formation energy without anion corrections: -1482 meV/atom

Cell: 14.5250 3.8094 11.0516 Å, 90.00 123.21 90.00°
Last column: nearest neighbours and their distance in Å.
Space group C2/m (No. 12)
One atom of each set of equivalent atoms:
1 Pa 0.0869 0.0000 0.1517 x4  1 N 2.22
2 Pa 0.1065 0.5000 0.4631 x4  4 N 2.29-2.34
3 Pa 0.1416 0.0000 0.7954 x4  3 N 2.27-2.32
4 P 0.1152 0.5000 0.9743 x4  7 Pa 2.92-3.12
5 P 0.2374 0.5000 0.3437 x4  6 Pa 2.80-2.90
6 N 0.0437 0.0000 0.3158 x4  4 Pa 2.22-2.34
7 N 0.0808 0.5000 0.6518 x4  4 Pa 2.29-2.32

# 7
Here is Pa9P2N14 after structural relaxation from the Alexandria database. Energies are from PBE.

* theoretical density: 9.87 Mg/m³
* total DFT energy (no corrections): -244.9 eV per cell
* crystal system: trigonal
* formation energy without anion corrections: -1281 meV/atom

Cell: 6.8826 6.8826 9.5857 Å, 90.00 90.00 120.00°
Last column: nearest neighbours and their distance in Å.
Space group P-3 (No. 147)
One atom of each set of equivalent atoms:
1 Pa 0.0000 0.0000 0.0000 x1  8 N 2.48-2.52
2 Pa 0.0049 0.6968 0.6552 x6  4 N 2.18-2.38
3 Pa 0.3333 0.6667 0.9832 x2  3 N 2.19
4 P 0.3333 0.6667 0.2488 x2  4 Pa 2.55-2.59
5 N 0.0000 0.0000 0.2628 x2  3 Pa 2.25
6 N 0.0238 0.3509 0.5887 x6  2 Pa 2.18-2.36
7 N 0.0533 0.6975 0.9006 x6  2 Pa 2.19-2.38

# 8
Here is Pa5P4N after structural relaxation from the Alexandria database. Energies are from PBE.

* theoretical density: 10.40 Mg/m³
* total DFT energy (no corrections): -180.8 eV per cell
* crystal system: tetragonal
* formation energy without anion corrections: -1294 meV/atom

Cell: 8.6429 8.6429 5.5264 Å, 90.00 90.00 90.00°
Last column: nearest neighbours and their distance in Å.
Space group I4/m (No. 87)
One atom of each set of equivalent atoms:
1 Pa 0.0000 0.0000 0.0000 x2  4 P 2.74, 2 N 2.76
2 Pa 0.0951 0.7204 0.5000 x8  1 N 2.55, 5 P 2.75-2.83
3 P 0.0914 0.6963 0.0000 x8  6 Pa 2.74-2.83
4 N 0.0000 0.0000 0.5000 x2  6 Pa 2.55-2.76

# 9
Here is Pa3P3N2 after structural relaxation from the Alexandria database. Energies are from PBE.

* theoretical density: 9.20 Mg/m³
* total DFT energy (no corrections): -287.1 eV per cell
* crystal system: orthorhombic
* formation energy without anion corrections: -1301 meV/atom

Cell: 3.7923 11.8537 13.0689 Å, 90.00 90.00 90.00°
Last column: nearest neighbours and their distance in Å.
Space group Cmcm (No. 63)
One atom of each set of equivalent atoms:
1 Pa 0.0000 0.1370 0.0483 x8  3 N 2.23-2.27
2 Pa 0.0000 0.1705 0.7500 x4  2 N 2.49, 2 P 2.75
3 P 0.0000 0.1611 0.2500 x4  4 Pa 2.65-2.75
4 P 0.0000 0.4522 0.1172 x8  6 Pa 2.95-3.06, 2 N 3.22, 1 P 3.27
5 N 0.0000 0.2627 0.5784 x8  3 Pa 2.23-2.27

# 10
Here is Pa2P2N7 after structural relaxation from the Alexandria database. Energies are from PBE.

* theoretical density: 4.81 Mg/m³
* total DFT energy (no corrections): -193.7 eV per cell
* crystal system: monoclinic
* formation energy without anion corrections: -797 meV/atom

Cell: 7.2010 9.1284 7.2462 Å, 90.00 115.63 90.00°
Last column: nearest neighbours and their distance in Å.
Space group C2/m (No. 12)
One atom of each set of equivalent atoms:
1 Pa 0.0000 0.1988 0.0000 x4  6 N 2.21-2.43
2 P 0.1520 0.5000 0.7347 x4  4 N 1.57-1.67
3 N 0.0000 0.5000 0.5000 x2  2 P 1.57
4 N 0.0976 0.0000 0.2087 x4  1 P 1.67
5 N 0.1323 0.3489 0.8484 x8  1 P 1.64